Record 1
Entry from Alexandria: YZr2Mo after structural relaxation (PBE-GGA).

The structure in extended XYZ format:
```
4
Lattice="1.660 0.958 9.627 -1.660 0.958 9.627 0.000 -1.917 9.627" Properties=species:S:1:pos:R:3 pbc="T T T"
Y 0.000 0.000 0.000
Zr 0.000 0.000 15.020
Zr 0.000 0.000 22.103
Mo 0.000 0.000 7.331
```

Calculated values
raw total energy	-8.290	eV per atom
spin magnetization	0.000	μB/cell
calculated density	6.6	g/cm3
energy of formation from the pure elements	307	meV/atom
relative energy among the computed polymorphs	23.0	kJ/mol of atoms
DOS(E_F)	1.723	states/eV per atom
SG	R3m

---

Record 2
Entry from Alexandria: ErPbS2 after structural relaxation (PBE-GGA).

The structure in extended XYZ format:
```
8
Lattice="4.259 0.000 0.000 0.007 6.758 0.000 0.020 0.031 8.868" Properties=species:S:1:pos:R:3 pbc="T T T"
Er 0.000 0.000 0.000
Er 2.132 3.391 1.959
Pb 2.148 2.583 7.034
Pb 4.261 5.945 3.782
S 0.019 0.938 6.430
S 2.131 4.300 4.396
S 2.136 5.263 0.105
S 4.261 1.892 1.835
```

Calculated values
raw total energy	-5.191	eV per atom
raw formation energy	-1.06	eV per atom
spin magnetization	0.000	μB/cell
calculated density	5.7	g/cm3
relative energy among the computed polymorphs	25.0	kJ/mol of atoms
DOS(E_F)	0.455	states/eV per atom
SG	P1